1.
Below is a PBEsol-optimized structure of Ni2MoRu, with properties calculated at the SCAN level.

Summary:
Its crystal system is tetragonal. As for the energy relative to the elements: 16 kJ/mol of formula units. As for the space group: No. 139.

The structure in POSCAR format:
```
Ni2MoRu
1.0
-2.4222 -1.0659 -2.4596
-0.1772 -3.2440 1.5804
-1.4841 3.3833 2.6488
Ni Mo Ru
2 1 1
Direct
0.7500 0.2500 0.5000
0.2500 0.7500 0.5000
0.5000 0.5000 0.0000
0.0000 0.0000 0.0000
```


2.
Below is a PBEsol-optimized structure of Ni2MoRu, with properties calculated at the SCAN level.

Summary:
Its crystal system is tetragonal. As for the energy relative to the elements: 5 kJ/mol of formula units. As for the space group: No. 123.

The structure in POSCAR format:
```
Ni2MoRu
1.0
-2.2268 1.1259 2.6132
2.4939 -0.8253 2.4807
1.4242 3.4646 -0.2791
Ru Ni Mo
1 2 1
Direct
0.5000 0.5000 0.5000
0.5000 0.0000 0.0000
0.0000 0.5000 0.0000
0.0000 0.0000 0.5000
```


3.
Below is a PBEsol-optimized structure of Ni2MoRu, with properties calculated at the SCAN level.

Summary:
Its crystal system is tetragonal. As for the energy relative to the elements: -4 kJ/mol of formula units. As for the space group: No. 119.

The structure in POSCAR format:
```
Ni2MoRu
1.0
3.6712 0.0000 0.0000
0.0000 3.6693 0.0000
-1.8356 -1.8346 3.6602
Mo Ni Ru
1 2 1
Direct
0.2500 0.7500 0.5000
0.0000 0.0000 0.0000
0.7500 0.2500 0.5000
0.5000 0.5000 0.0000
```


4.
Below is a PBEsol-optimized structure of NiMoRu2, with properties calculated at the SCAN level.

Summary:
Its crystal system is tetragonal. As for the energy relative to the elements: -3 kJ/mol of formula units. As for the space group: No. 123. The energy above the most stable polymorph in this dataset is 0.0 kJ per mole of atoms.

The structure in POSCAR format:
```
NiMoRu2
1.0
-1.2188 -3.2021 1.2554
3.5555 -1.2628 0.2308
0.2319 1.3003 3.5418
Ru Mo Ni
2 1 1
Direct
0.0000 0.5000 0.0000
0.0000 0.0000 0.5000
0.5000 0.5000 0.5000
0.5000 0.0000 0.0000
```


5.
Below is a PBEsol-optimized structure of Ni2MoRu, with properties calculated at the SCAN level.

Summary:
Its crystal system is orthorhombic. As for the energy relative to the elements: 13 kJ/mol of formula units. As for the space group: No. 25.

The structure in POSCAR format:
```
Ni2MoRu
1.0
-0.3065 -1.6459 -2.0445
3.8088 -1.5025 0.6385
-1.6871 -3.1065 2.7538
Ni Ru Mo
2 1 1
Direct
0.0000 0.5000 0.7187
0.0000 0.0000 0.0276
0.5000 0.0000 0.5438
0.5000 0.5000 0.2099
```


6.
Below is a PBEsol-optimized structure of NiSb2Mo, with properties calculated at the SCAN level.

Summary:
Its crystal system is cubic. The total energy comes out at -30.980 eV per atom. As for the space group: No. 225.

The structure in POSCAR format:
```
NiSb2Mo
1.0
-1.9598 -4.1024 0.8265
1.8432 -2.8516 3.1344
-2.1815 -0.7539 4.0033
Sb Mo Ni
2 1 1
Direct
0.7500 0.7500 0.7500
0.2500 0.2500 0.2500
0.0000 0.0000 0.0000
0.5000 0.5000 0.5000
```